(1)
# TlSiP2O

A relaxed TlSiP2O crystal (PBE, Alexandria).

Unit cell a=5.1531 b=5.1531 c=4.0802 alpha=90.00 beta=90.00 gamma=90.00
Fractional coordinates of all 5 atoms:
Tl 0.0000 0.0000 0.0000
Si 0.5000 0.5000 0.5000
P 0.0000 0.5000 0.0000
P 0.5000 0.0000 0.0000
O 0.0000 0.0000 0.5000

Values from the calculation:
ΔE_f (raw) ... 5.95 eV/f.u.
Energy above the most stable polymorph in this dataset ... 6.80 eV/f.u.
D(E_F) ... 0.90 states/eV/atom

=====

(2)
# TlSiP2O

A relaxed TlSiP2O crystal (PBE, Alexandria).

Unit cell a=4.9638 b=4.9638 c=3.3450 alpha=90.00 beta=90.00 gamma=90.00
Fractional coordinates of all 5 atoms:
Tl 0.0000 0.0000 0.0000
Si 0.5000 0.5000 0.5000
P 0.0000 0.5000 0.5000
P 0.5000 0.0000 0.5000
O 0.5000 0.5000 0.0000

Values from the calculation:
ΔE_f (raw) ... -0.85 eV/f.u.
Energy above the most stable polymorph in this dataset ... 0.00 eV/f.u.
D(E_F) ... 0.29 states/eV/atom